1.
DFT (GGA-PBE) results for a relaxed Ba2ZrRh crystal.

Cell: 6.0625 6.0625 3.5654 Å, 89.91 89.91 117.14°
Fractional positions:
1 Ba 0.0000 0.0000 0.0000
2 Ba 0.5000 0.5000 0.0000
3 Rh 0.5000 0.0000 0.5000
4 Zr 0.0000 0.5000 0.5000

Properties
calculated volume: 116.6 Å³/cell
formation energy: 594.7 meV per atom
space-group type: C2/m (12)
N(E_F): 4.4 states/eV/f.u.
magnetization: 0.000 Bohr magnetons per cell



2.
DFT (GGA-PBE) results for a relaxed CdTe2Ir crystal.

Cell: 4.0006 5.6882 5.6751 Å, 57.32 90.00 90.00°
Fractional positions:
1 Cd 0.5000 0.2500 0.2500
2 Te 0.0000 0.9216 0.9222
3 Te 0.0000 0.5784 0.5778
4 Ir 0.5000 0.7500 0.7500

Properties
calculated volume: 108.7 Å³/cell
space-group type: P2/m (10)
uncorrected energy: -4.13 eV/atom
N(E_F): 1.7 states/eV/f.u.
magnetization: 0.000 Bohr magnetons per cell



3.
DFT (GGA-PBE) results for a relaxed PaGePb2O6 crystal.

Cell: 4.6293 5.7063 5.7063 Å, 90.00 90.00 90.00°
Fractional positions:
1 O 0.6913 0.7704 0.7704
2 O 0.6913 0.2296 0.2296
3 O 0.1370 0.5000 0.5000
4 O 0.2093 0.0000 0.0000
5 O 0.6913 0.2296 0.7704
6 O 0.6913 0.7704 0.2296
7 Pb 0.0644 0.5000 0.0000
8 Pb 0.0644 0.0000 0.5000
9 Pa 0.6156 0.5000 0.5000
10 Ge 0.5908 0.0000 0.0000

Properties
calculated volume: 150.7 Å³/cell
space-group type: P4mm (99)
uncorrected energy: -7.05 eV/atom
N(E_F): 3.2 states/eV/f.u.
magnetization: 0.841 Bohr magnetons per cell



4.
DFT (GGA-PBE) results for a relaxed Na2TbHg7 crystal.

Cell: 5.1494 5.1494 11.7843 Å, 90.00 90.00 120.00°
Fractional positions:
1 Hg 0.3333 0.6667 0.1611
2 Hg 0.6667 0.3333 0.9488
3 Hg 0.0000 0.0000 0.3005
4 Hg 0.6667 0.3333 0.5500
5 Hg 0.3333 0.6667 0.4111
6 Hg 0.3333 0.6667 0.9123
7 Hg 0.0000 0.0000 0.7577
8 Tb 0.0000 0.0000 0.0275
9 Na 0.3333 0.6667 0.6602
10 Na 0.6667 0.3333 0.2542

Properties
calculated volume: 270.6 Å³/cell
formation energy: -190.8 meV per atom
space-group type: P3m1 (156)
N(E_F): 2.2 states/eV/f.u.
magnetization: 0.000 Bohr magnetons per cell



5.
DFT (GGA-PBE) results for a relaxed TlCuSe2 crystal.

Cell: 5.5118 5.5118 5.5118 Å, 142.11 109.43 83.00°
Fractional positions:
1 Tl 0.4859 0.4859 0.0000
2 Cu 0.2192 0.7192 0.5000
3 Se 0.7696 0.2696 0.5000
4 Se 0.0253 0.0253 0.0000

Properties
calculated volume: 94.1 Å³/cell
space-group type: Imm2 (44)
uncorrected energy: -3.17 eV/atom
N(E_F): 1.8 states/eV/f.u.
magnetization: 0.000 Bohr magnetons per cell



6.
DFT (GGA-PBE) results for a relaxed SrAcPd5Pb2 crystal.

Cell: 4.7778 4.7778 9.3438 Å, 90.00 90.00 90.00°
Fractional positions:
1 Pd 0.0000 0.5000 0.2988
2 Pd 0.5000 0.0000 0.7012
3 Pd 0.0000 0.5000 0.7012
4 Pd 0.5000 0.0000 0.2988
5 Pd 0.5000 0.5000 0.5000
6 Pb 0.5000 0.5000 0.1633
7 Pb 0.5000 0.5000 0.8367
8 Ac 0.0000 0.0000 0.5000
9 Sr 0.0000 0.0000 0.0000

Properties
calculated volume: 213.3 Å³/cell
formation energy: -529.6 meV per atom
space-group type: P4/mmm (123)
N(E_F): 4.7 states/eV/f.u.
magnetization: 0.000 Bohr magnetons per cell



7.
DFT (GGA-PBE) results for a relaxed La2PrZn3 crystal.

Cell: 5.2943 5.2943 6.4912 Å, 90.00 90.00 120.00°
Fractional positions:
1 Zn 0.0000 0.0000 0.5000
2 Zn 0.6667 0.3333 0.8349
3 Zn 0.3333 0.6667 0.1651
4 La 0.6667 0.3333 0.3328
5 La 0.3333 0.6667 0.6672
6 Pr 0.0000 0.0000 0.0000

Properties
calculated volume: 157.6 Å³/cell
formation energy: -310.5 meV per atom
space-group type: P-3m1 (164)
N(E_F): 5.9 states/eV/f.u.
magnetization: 0.000 Bohr magnetons per cell



8.
DFT (GGA-PBE) results for a relaxed RbMnNi2B crystal.

Cell: 4.5335 4.5335 4.6971 Å, 90.00 90.00 90.00°
Fractional positions:
1 Rb 0.0000 0.0000 0.0000
2 B 0.0000 0.0000 0.5000
3 Mn 0.5000 0.5000 0.5000
4 Ni 0.5000 0.0000 0.0000
5 Ni 0.0000 0.5000 0.0000

Properties
calculated volume: 96.5 Å³/cell
formation energy: 3158.0 meV per atom
space-group type: P4/mmm (123)
N(E_F): 10.6 states/eV/f.u.
magnetization: 0.075 Bohr magnetons per cell



9.
DFT (GGA-PBE) results for a relaxed ThGaRh3 crystal.

Cell: 6.1393 6.1393 9.2061 Å, 70.52 70.52 60.00°
Fractional positions:
1 Ga 0.3964 0.3964 0.8107
2 Ga 0.5000 0.5000 0.5000
3 Ga 0.6036 0.6036 0.1893
4 Rh 0.1725 0.7412 0.3451
5 Rh 0.5000 0.5000 0.0000
6 Rh 0.7412 0.1725 0.3451
7 Rh 0.7412 0.7412 0.3451
8 Rh 0.2588 0.8275 0.6549
9 Rh 0.0000 0.5000 0.0000
10 Rh 0.8275 0.2588 0.6549
11 Rh 0.2588 0.2588 0.6549
12 Rh 0.5000 0.0000 0.0000
13 Th 0.7721 0.7721 0.6836
14 Th 0.2279 0.2279 0.3164
15 Th 0.0000 0.0000 0.0000

Properties
calculated volume: 277.3 Å³/cell
formation energy: -612.0 meV per atom
space-group type: R-3m (166)
N(E_F): 2.2 states/eV/f.u.
magnetization: 0.000 Bohr magnetons per cell



10.
DFT (GGA-PBE) results for a relaxed YTeP2 crystal.

Cell: 3.5329 3.5329 7.1956 Å, 90.00 90.00 103.80°
Fractional positions:
1 Te 0.5000 0.5000 0.2500
2 Y 0.5000 0.5000 0.7500
3 P 0.0000 0.0000 0.5116
4 P 0.0000 0.0000 0.9884

Properties
calculated volume: 87.2 Å³/cell
space-group type: Cmmm (65)
uncorrected energy: -5.28 eV/atom
N(E_F): 1.7 states/eV/f.u.
magnetization: 0.000 Bohr magnetons per cell



11.
DFT (GGA-PBE) results for a relaxed LiPm4Cd2 crystal.

Cell: 5.3423 5.3423 9.0930 Å, 72.92 72.92 60.00°
Fractional positions:
1 Cd 0.2566 0.2566 0.2301
2 Cd 0.7434 0.7434 0.7699
3 Pm 0.8698 0.8698 0.3907
4 Pm 0.6170 0.6170 0.1489
5 Pm 0.1302 0.1302 0.6093
6 Pm 0.3830 0.3830 0.8511
7 Li 0.0000 0.0000 0.0000

Properties
calculated volume: 211.4 Å³/cell
formation energy: -44.2 meV per atom
space-group type: R-3m (166)
N(E_F): 10.2 states/eV/f.u.
magnetization: 1.012 Bohr magnetons per cell



12.
DFT (GGA-PBE) results for a relaxed NiGe2N crystal.

Cell: 5.2420 5.2420 5.7085 Å, 62.67 62.67 90.00°
Fractional positions:
1 Ni 0.7500 0.2500 0.5000
2 Ni 0.0000 0.0000 0.0000
3 N 0.2500 0.7500 0.5000
4 N 0.5000 0.5000 0.0000
5 Ge 0.5826 0.1250 0.2500
6 Ge 0.8750 0.8326 0.7500
7 Ge 0.3750 0.4174 0.7500
8 Ge 0.1674 0.6250 0.2500

Properties
calculated volume: 119.3 Å³/cell
space-group type: I-42d (122)
uncorrected energy: -5.63 eV/atom
N(E_F): 3.2 states/eV/f.u.
magnetization: 0.000 Bohr magnetons per cell